Run w
A plane-wave DFT calculation with PBE-GGA was carried out for a relaxed Dy12ErSc6 crystal.

Size of the total moment = 0.00 μB/f.u.

a b c (Å): 9.027 9.027 9.027
angles (deg): 109.47 109.47 109.47
Fractional positions:
Dy: 0.267 0.070 0.804
Dy: 0.267 0.463 0.196
Dy: 0.733 0.537 0.804
Dy: 0.733 0.930 0.196
Dy: 0.070 0.804 0.267
Dy: 0.463 0.196 0.267
Dy: 0.537 0.804 0.733
Dy: 0.930 0.196 0.733
Dy: 0.804 0.267 0.070
Dy: 0.196 0.267 0.463
Dy: 0.804 0.733 0.537
Dy: 0.196 0.733 0.930
Er: 0.000 0.000 0.000
Sc: 0.362 0.500 0.862
Sc: 0.638 0.500 0.138
Sc: 0.500 0.862 0.362
Sc: 0.500 0.138 0.638
Sc: 0.862 0.362 0.500
Sc: 0.138 0.638 0.500

***

Run x
A plane-wave DFT calculation with PBE-GGA was carried out for a relaxed Dy12ErSc6 crystal.

Size of the total moment = 0.00 μB/f.u.

a b c (Å): 9.046 9.046 9.046
angles (deg): 107.73 107.73 107.73
Fractional positions:
Dy: 0.888 0.112 0.500
Dy: 0.370 0.146 0.370
Dy: 0.370 0.370 0.146
Dy: 0.854 0.630 0.630
Dy: 0.630 0.630 0.854
Dy: 0.630 0.854 0.630
Dy: 0.500 0.888 0.112
Dy: 0.112 0.500 0.888
Dy: 0.112 0.888 0.500
Dy: 0.500 0.112 0.888
Dy: 0.888 0.500 0.112
Dy: 0.146 0.370 0.370
Er: 0.000 0.000 0.000
Sc: 0.687 0.274 0.687
Sc: 0.687 0.687 0.274
Sc: 0.274 0.687 0.687
Sc: 0.313 0.313 0.726
Sc: 0.313 0.726 0.313
Sc: 0.726 0.313 0.313

***

The structure with the least stability is run x.

***

Run w
A plane-wave DFT calculation with PBE-GGA was carried out for a relaxed DyErSc crystal.

Size of the total moment = 0.00 μB/f.u.

a b c (Å): 3.361 5.432 5.432
angles (deg): 120.00 90.00 90.00
Fractional positions:
Sc: 0.167 0.333 0.667
Dy: 0.667 0.667 0.333
Er: 0.167 0.000 0.000

***

Run x
A plane-wave DFT calculation with PBE-GGA was carried out for a relaxed DyErSc crystal.

Size of the total moment = 0.00 μB/f.u.

a b c (Å): 3.372 3.356 15.615
angles (deg): 90.00 90.00 90.00
Fractional positions:
Dy: 0.250 0.250 0.081
Dy: 0.750 0.750 0.919
Er: 0.250 0.750 0.725
Er: 0.750 0.250 0.275
Sc: 0.250 0.750 0.427
Sc: 0.750 0.250 0.573

***

Run y
A plane-wave DFT calculation with PBE-GGA was carried out for a relaxed DyErSc crystal.

Size of the total moment = 0.00 μB/f.u.

a b c (Å): 3.404 8.562 6.085
angles (deg): 90.00 90.00 90.00
Fractional positions:
Er: 0.500 0.189 0.250
Er: 0.500 0.811 0.750
Sc: 0.000 0.141 0.750
Sc: 0.000 0.859 0.250
Dy: 0.000 0.500 0.500
Dy: 0.000 0.500 0.000

***

Run z
A plane-wave DFT calculation with PBE-GGA was carried out for a relaxed DyErSc crystal.

Size of the total moment = 0.00 μB/f.u.

a b c (Å): 3.453 3.453 15.272
angles (deg): 76.91 76.91 90.06
Fractional positions:
Dy: 0.516 0.593 0.998
Dy: 0.840 0.916 0.175
Er: 0.164 0.240 0.350
Er: 0.192 0.269 0.823
Sc: 0.854 0.931 0.661
Sc: 0.502 0.578 0.513

***

The structure with the least stability is run y.

***

Run w
A plane-wave DFT calculation with PBE-GGA was carried out for a relaxed Dy5ErSc crystal.

Size of the total moment = 0.00 μB/f.u.

a b c (Å): 5.976 8.037 7.581
angles (deg): 122.01 113.22 90.00
Fractional positions:
Dy: 0.182 0.248 0.496
Dy: 0.171 0.500 0.000
Dy: 0.686 0.752 0.504
Dy: 0.433 0.824 0.000
Dy: 0.433 0.176 0.000
Er: 0.694 0.500 0.000
Sc: 0.933 0.000 0.000

***

Run x
A plane-wave DFT calculation with PBE-GGA was carried out for a relaxed Dy5ErSc crystal.

Size of the total moment = 0.00 μB/f.u.

a b c (Å): 10.185 6.127 16.680
angles (deg): 32.54 23.63 33.77
Fractional positions:
Dy: 0.524 0.537 0.270
Dy: 0.901 0.605 0.731
Dy: 0.543 0.188 0.909
Dy: 0.125 0.535 0.273
Dy: 0.303 0.607 0.729
Er: 0.893 0.951 0.087
Sc: 0.711 0.077 0.500

***

The structure with the least stability is run w.

***

Run w
A plane-wave DFT calculation with PBE-GGA was carried out for a relaxed Dy5ErSc4 crystal.

Size of the total moment = 0.00 μB/f.u.

a b c (Å): 3.470 3.470 23.577
angles (deg): 90.00 90.00 90.00
Fractional positions:
Dy: 0.500 0.500 0.107
Dy: 0.500 0.500 0.304
Dy: 0.500 0.500 0.500
Dy: 0.500 0.500 0.696
Dy: 0.500 0.500 0.893
Er: 0.000 0.000 0.000
Sc: 0.000 0.000 0.205
Sc: 0.000 0.000 0.402
Sc: 0.000 0.000 0.598
Sc: 0.000 0.000 0.795

***

Run x
A plane-wave DFT calculation with PBE-GGA was carried out for a relaxed Dy5ErSc4 crystal.

Size of the total moment = 0.00 μB/f.u.

a b c (Å): 6.133 7.572 7.572
angles (deg): 80.56 66.11 66.11
Fractional positions:
Dy: 0.804 0.391 0.903
Dy: 0.196 0.903 0.609
Dy: 0.707 0.097 0.391
Dy: 0.099 0.609 0.097
Dy: 0.680 0.000 0.000
Er: 0.222 0.000 0.000
Sc: 0.395 0.412 0.699
Sc: 0.808 0.699 0.588
Sc: 0.094 0.301 0.412
Sc: 0.506 0.588 0.301

***

The structure with the least stability is run x.

***

Run w
A plane-wave DFT calculation with PBE-GGA was carried out for a relaxed Dy3Er7Sc crystal.

Size of the total moment = 0.00 μB/f.u.

a b c (Å): 8.466 6.930 6.930
angles (deg): 120.00 90.00 90.00
Fractional positions:
Dy: 0.781 0.499 0.501
Dy: 0.781 0.499 0.998
Dy: 0.781 0.002 0.501
Er: 0.121 0.168 0.832
Er: 0.121 0.168 0.337
Er: 0.120 0.667 0.333
Er: 0.448 0.832 0.168
Er: 0.448 0.336 0.168
Er: 0.448 0.832 0.664
Er: 0.121 0.663 0.832
Sc: 0.446 0.333 0.667

***

Run x
A plane-wave DFT calculation with PBE-GGA was carried out for a relaxed Dy3Er7Sc crystal.

Size of the total moment = 0.00 μB/f.u.

a b c (Å): 8.603 10.402 5.383
angles (deg): 89.98 128.74 108.87
Fractional positions:
Dy: 0.210 0.979 0.710
Dy: 0.000 0.500 0.000
Dy: 0.790 0.021 0.290
Er: 0.864 0.827 0.864
Er: 0.809 0.624 0.309
Er: 0.620 0.285 0.120
Er: 0.380 0.715 0.880
Er: 0.500 0.000 0.500
Er: 0.191 0.376 0.691
Er: 0.136 0.173 0.136
Sc: 0.500 0.500 0.500

***

The structure with the least stability is run w.

***

Run w
A plane-wave DFT calculation with PBE-GGA was carried out for a relaxed Dy7Er3Sc crystal.

Size of the total moment = 0.42 μB/f.u.

a b c (Å): 5.674 8.337 8.337
angles (deg): 83.76 109.89 109.89
Fractional positions:
Dy: 0.214 0.214 0.214
Dy: 0.308 0.016 0.600
Dy: 0.692 0.400 0.984
Dy: 0.308 0.600 0.016
Dy: 0.000 0.500 0.500
Dy: 0.692 0.984 0.400
Dy: 0.786 0.786 0.786
Er: 0.000 0.795 0.205
Er: 0.500 0.000 0.000
Er: 0.000 0.205 0.795
Sc: 0.500 0.500 0.500

***

Run x
A plane-wave DFT calculation with PBE-GGA was carried out for a relaxed Dy7Er3Sc crystal.

Size of the total moment = 0.00 μB/f.u.

a b c (Å): 8.649 10.394 5.422
angles (deg): 89.99 128.82 108.82
Fractional positions:
Dy: 0.868 0.827 0.868
Dy: 0.811 0.624 0.311
Dy: 0.622 0.285 0.122
Dy: 0.378 0.715 0.878
Dy: 0.500 0.000 0.500
Dy: 0.189 0.376 0.689
Dy: 0.132 0.173 0.132
Er: 0.211 0.979 0.712
Er: 0.000 0.500 0.000
Er: 0.789 0.021 0.288
Sc: 0.500 0.500 0.500

***

The structure with the least stability is run w.

***

Run w
A plane-wave DFT calculation with PBE-GGA was carried out for a relaxed Dy4ErSc2 crystal.

Size of the total moment = 0.00 μB/f.u.

a b c (Å): 7.791 7.511 7.511
angles (deg): 90.01 89.96 89.96
Fractional positions:
Dy: 0.268 0.242 0.257
Dy: 0.732 0.243 0.258
Dy: 0.268 0.757 0.742
Dy: 0.732 0.758 0.743
Dy: 0.733 0.757 0.257
Dy: 0.732 0.243 0.743
Dy: 0.268 0.757 0.257
Dy: 0.267 0.243 0.743
Er: 0.500 0.500 0.000
Er: 0.000 0.500 0.000
Sc: 0.000 0.000 0.000
Sc: 0.000 0.000 0.500
Sc: 0.000 0.500 0.500
Sc: 0.500 0.000 0.500

***

Run x
A plane-wave DFT calculation with PBE-GGA was carried out for a relaxed Dy4ErSc2 crystal.

Size of the total moment = 0.00 μB/f.u.

a b c (Å): 5.432 6.769 11.585
angles (deg): 90.00 103.56 90.00
Fractional positions:
Dy: 0.646 0.500 0.291
Dy: 0.926 0.750 0.850
Dy: 0.074 0.250 0.150
Dy: 0.646 0.000 0.291
Dy: 0.785 0.250 0.568
Dy: 0.354 0.000 0.709
Dy: 0.354 0.500 0.709
Dy: 0.215 0.750 0.432
Er: 0.073 0.750 0.145
Er: 0.927 0.250 0.855
Sc: 0.500 0.750 0.997
Sc: 0.500 0.250 0.003
Sc: 0.215 0.250 0.427
Sc: 0.785 0.750 0.573

***

The structure with the least stability is run w.

***

Run w
A plane-wave DFT calculation with PBE-GGA was carried out for a relaxed DyEr3Sc2 crystal.

Size of the total moment = 0.00 μB/f.u.

a b c (Å): 3.367 9.806 11.335
angles (deg): 107.73 98.54 90.00
Fractional positions:
Dy: 0.315 0.956 0.630
Dy: 0.685 0.044 0.370
Er: 0.303 0.292 0.606
Er: 0.069 0.771 0.139
Er: 0.441 0.567 0.881
Er: 0.697 0.708 0.394
Er: 0.559 0.433 0.119
Er: 0.931 0.229 0.861
Sc: 0.308 0.627 0.616
Sc: 0.692 0.373 0.384
Sc: 0.929 0.862 0.857
Sc: 0.071 0.138 0.143

***

Run x
A plane-wave DFT calculation with PBE-GGA was carried out for a relaxed DyEr3Sc2 crystal.

Size of the total moment = 0.00 μB/f.u.

a b c (Å): 5.409 8.595 8.595
angles (deg): 111.82 90.00 90.00
Fractional positions:
Dy: 0.993 0.722 0.722
Dy: 0.493 0.278 0.278
Er: 0.993 0.889 0.374
Er: 0.493 0.626 0.111
Er: 0.993 0.374 0.889
Er: 0.493 0.111 0.626
Er: 0.493 0.906 0.906
Er: 0.993 0.094 0.094
Sc: 0.493 0.701 0.488
Sc: 0.993 0.512 0.299
Sc: 0.493 0.488 0.701
Sc: 0.993 0.299 0.512

***

The structure with the least stability is run x.

***

Run w
A plane-wave DFT calculation with PBE-GGA was carried out for a relaxed Dy3ErSc3 crystal.

Size of the total moment = 0.00 μB/f.u.

a b c (Å): 8.287 8.287 8.422
angles (deg): 60.53 60.53 60.00
Fractional positions:
Dy: 0.567 0.721 0.645
Dy: 0.721 0.067 0.645
Dy: 0.067 0.567 0.645
Dy: 0.933 0.433 0.355
Dy: 0.279 0.933 0.355
Dy: 0.433 0.279 0.355
Er: 0.348 0.348 0.957
Er: 0.652 0.652 0.043
Sc: 0.171 0.722 0.170
Sc: 0.938 0.171 0.170
Sc: 0.722 0.938 0.170
Sc: 0.278 0.062 0.830
Sc: 0.062 0.829 0.830
Sc: 0.829 0.278 0.830

***

Run x
A plane-wave DFT calculation with PBE-GGA was carried out for a relaxed Dy3ErSc3 crystal.

Size of the total moment = 0.00 μB/f.u.

a b c (Å): 5.925 5.925 14.043
angles (deg): 77.82 77.82 60.00
Fractional positions:
Dy: 0.930 0.264 0.209
Dy: 0.597 0.930 0.209
Dy: 0.264 0.597 0.209
Dy: 0.736 0.403 0.791
Dy: 0.403 0.070 0.791
Dy: 0.070 0.736 0.791
Er: 0.667 0.667 0.000
Er: 0.333 0.333 0.000
Sc: 0.197 0.864 0.407
Sc: 0.532 0.197 0.407
Sc: 0.864 0.532 0.407
Sc: 0.136 0.468 0.593
Sc: 0.468 0.803 0.593
Sc: 0.803 0.136 0.593

***

The structure with the least stability is run w.